(1)
Computed, not measured: a geometry-optimized ScAlPb structure at the PBE level of DFT.

Structure (CIF):
```
data_ScAlPb
_chemical_formula_sum 'Sc4 Al4 Pb4'
_space_group_name_H-M_alt 'C 1 2/m 1'
_space_group_IT_number 12
_space_group_name_Hall '-C 2y'
_cell_length_a 14.278
_cell_length_b 4.339
_cell_length_c 4.317
_cell_angle_alpha 90.00
_cell_angle_beta 93.94
_cell_angle_gamma 90.00
loop_
_atom_site_label
_atom_site_fract_x
_atom_site_fract_y
_atom_site_fract_z
Sc1 0.139 0.000 0.025
Al1 0.000 0.000 0.500
Al2 0.000 0.500 0.000
Pb1 0.163 0.500 0.533
```

Summary:
energy of formation from the pure elements = -287 meV/atom

(2)
Computed, not measured: a geometry-optimized Sc2AlPb structure at the PBE level of DFT.

Structure (CIF):
```
data_Sc2AlPb
_chemical_formula_sum 'Sc2 Al1 Pb1'
_space_group_name_H-M_alt 'P 1 2/m 1'
_space_group_IT_number 10
_space_group_name_Hall '-P 2y'
_cell_length_a 3.250
_cell_length_b 4.236
_cell_length_c 6.373
_cell_angle_alpha 90.00
_cell_angle_beta 90.17
_cell_angle_gamma 90.00
loop_
_atom_site_label
_atom_site_fract_x
_atom_site_fract_y
_atom_site_fract_z
Sc1 0.001 0.000 0.235
Al1 0.500 0.500 0.000
Pb1 0.500 0.500 0.500
```

Summary:
energy of formation from the pure elements = -341 meV/atom

(3)
Computed, not measured: a geometry-optimized ScAlPb structure at the PBE level of DFT.

Structure (CIF):
```
data_ScAlPb
_chemical_formula_sum 'Sc4 Al4 Pb4'
_space_group_name_H-M_alt 'I m a 2'
_space_group_IT_number 46
_space_group_name_Hall 'I 2 -2a'
_cell_length_a 5.190
_cell_length_b 7.856
_cell_length_c 6.721
_cell_angle_alpha 90.00
_cell_angle_beta 90.00
_cell_angle_gamma 90.00
loop_
_atom_site_label
_atom_site_fract_x
_atom_site_fract_y
_atom_site_fract_z
Sc1 0.250 0.169 0.000
Al1 0.000 0.000 0.342
Pb1 0.250 0.660 0.212
```

Summary:
energy of formation from the pure elements = -212 meV/atom

(4)
Computed, not measured: a geometry-optimized ScAlPb structure at the PBE level of DFT.

Structure (CIF):
```
data_ScAlPb
_chemical_formula_sum 'Sc4 Al4 Pb4'
_space_group_name_H-M_alt 'C 1 m 1'
_space_group_IT_number 8
_space_group_name_Hall 'C -2y'
_cell_length_a 10.359
_cell_length_b 4.323
_cell_length_c 6.227
_cell_angle_alpha 90.00
_cell_angle_beta 107.19
_cell_angle_gamma 90.00
loop_
_atom_site_label
_atom_site_fract_x
_atom_site_fract_y
_atom_site_fract_z
Sc1 0.000 0.000 0.000
Sc2 0.225 0.500 0.388
Al1 0.180 0.500 0.864
Al2 0.369 0.000 0.697
Pb1 0.051 0.000 0.534
Pb2 0.342 0.000 0.167
```

Summary:
energy of formation from the pure elements = -231 meV/atom

(5)
Computed, not measured: a geometry-optimized Sc5Al2Pb structure at the PBE level of DFT.

Structure (CIF):
```
data_Sc5Al2Pb
_chemical_formula_sum 'Sc20 Al8 Pb4'
_space_group_name_H-M_alt 'I 4/m c m'
_space_group_IT_number 140
_space_group_name_Hall '-I 4 2c'
_cell_length_a 7.666
_cell_length_b 7.666
_cell_length_c 12.193
_cell_angle_alpha 90.00
_cell_angle_beta 90.00
_cell_angle_gamma 90.00
loop_
_atom_site_label
_atom_site_fract_x
_atom_site_fract_y
_atom_site_fract_z
Sc1 0.000 0.000 0.000
Sc2 0.155 0.345 0.148
Al1 0.138 0.362 0.500
Pb1 0.000 0.000 0.250
```

Summary:
energy of formation from the pure elements = -379 meV/atom

(6)
Computed, not measured: a geometry-optimized ScAlPb structure at the PBE level of DFT.

Structure (CIF):
```
data_ScAlPb
_chemical_formula_sum 'Sc4 Al4 Pb4'
_space_group_name_H-M_alt 'F -4 3 m'
_space_group_IT_number 216
_space_group_name_Hall 'F -4 2 3'
_cell_length_a 6.827
_cell_length_b 6.827
_cell_length_c 6.827
_cell_angle_alpha 90.00
_cell_angle_beta 90.00
_cell_angle_gamma 90.00
loop_
_atom_site_label
_atom_site_fract_x
_atom_site_fract_y
_atom_site_fract_z
Sc1 0.000 0.000 0.000
Al1 0.250 0.250 0.750
Pb1 0.250 0.250 0.250
```

Summary:
energy of formation from the pure elements = 69 meV/atom

(7)
Computed, not measured: a geometry-optimized ScAlPb structure at the PBE level of DFT.

Structure (CIF):
```
data_ScAlPb
_chemical_formula_sum 'Sc2 Al2 Pb2'
_space_group_name_H-M_alt 'C 1 m 1'
_space_group_IT_number 8
_space_group_name_Hall 'C -2y'
_cell_length_a 12.197
_cell_length_b 3.435
_cell_length_c 3.435
_cell_angle_alpha 90.00
_cell_angle_beta 106.34
_cell_angle_gamma 90.00
loop_
_atom_site_label
_atom_site_fract_x
_atom_site_fract_y
_atom_site_fract_z
Sc1 0.000 0.000 0.000
Al1 0.136 0.500 0.636
Pb1 0.310 0.000 0.308
```

Summary:
energy of formation from the pure elements = -102 meV/atom

(8)
Computed, not measured: a geometry-optimized Sc2AlPb structure at the PBE level of DFT.

Structure (CIF):
```
data_Sc2AlPb
_chemical_formula_sum 'Sc8 Al4 Pb4'
_space_group_name_H-M_alt 'I -4 2 d'
_space_group_IT_number 122
_space_group_name_Hall 'I -4 2bw'
_cell_length_a 7.818
_cell_length_b 7.818
_cell_length_c 6.280
_cell_angle_alpha 90.00
_cell_angle_beta 90.00
_cell_angle_gamma 90.00
loop_
_atom_site_label
_atom_site_fract_x
_atom_site_fract_y
_atom_site_fract_z
Sc1 0.239 0.750 0.125
Al1 0.000 0.000 0.000
Pb1 0.000 0.000 0.500
```

Summary:
energy of formation from the pure elements = -24 meV/atom

(9)
Computed, not measured: a geometry-optimized ScAlPb structure at the PBE level of DFT.

Structure (CIF):
```
data_ScAlPb
_chemical_formula_sum 'Sc2 Al2 Pb2'
_space_group_name_H-M_alt 'P 1 21/m 1'
_space_group_IT_number 11
_space_group_name_Hall '-P 2yb'
_cell_length_a 3.306
_cell_length_b 4.393
_cell_length_c 9.812
_cell_angle_alpha 90.00
_cell_angle_beta 99.51
_cell_angle_gamma 90.00
loop_
_atom_site_label
_atom_site_fract_x
_atom_site_fract_y
_atom_site_fract_z
Sc1 0.094 0.250 0.192
Al1 0.465 0.250 0.928
Pb1 0.316 0.250 0.625
```

Summary:
energy of formation from the pure elements = -281 meV/atom

(10)
Computed, not measured: a geometry-optimized Sc2AlPb structure at the PBE level of DFT.

Structure (CIF):
```
data_Sc2AlPb
_chemical_formula_sum 'Sc8 Al4 Pb4'
_space_group_name_H-M_alt 'F -4 3 m'
_space_group_IT_number 216
_space_group_name_Hall 'F -4 2 3'
_cell_length_a 7.200
_cell_length_b 7.200
_cell_length_c 7.200
_cell_angle_alpha 90.00
_cell_angle_beta 90.00
_cell_angle_gamma 90.00
loop_
_atom_site_label
_atom_site_fract_x
_atom_site_fract_y
_atom_site_fract_z
Sc1 0.000 0.000 0.000
Sc2 0.250 0.250 0.250
Al1 0.000 0.000 0.500
Pb1 0.250 0.250 0.750
```

Summary:
energy of formation from the pure elements = 117 meV/atom

(11)
Computed, not measured: a geometry-optimized Sc2AlPb structure at the PBE level of DFT.

Structure (CIF):
```
data_Sc2AlPb
_chemical_formula_sum 'Sc2 Al1 Pb1'
_space_group_name_H-M_alt 'P 4/m m m'
_space_group_IT_number 123
_space_group_name_Hall '-P 4 2'
_cell_length_a 4.483
_cell_length_b 4.483
_cell_length_c 4.351
_cell_angle_alpha 90.00
_cell_angle_beta 90.00
_cell_angle_gamma 90.00
loop_
_atom_site_label
_atom_site_fract_x
_atom_site_fract_y
_atom_site_fract_z
Sc1 0.000 0.500 0.000
Al1 0.000 0.000 0.500
Pb1 0.500 0.500 0.500
```

Summary:
energy of formation from the pure elements = -338 meV/atom

(12)
Computed, not measured: a geometry-optimized ScAlPb structure at the PBE level of DFT.

Structure (CIF):
```
data_ScAlPb
_chemical_formula_sum 'Sc1 Al1 Pb1'
_space_group_name_H-M_alt 'P 3 m 1'
_space_group_IT_number 156
_space_group_name_Hall 'P 3 -2"'
_cell_length_a 3.3225
_cell_length_b 3.3225
_cell_length_c 7.4627
_cell_angle_alpha 90.00
_cell_angle_beta 90.00
_cell_angle_gamma 120.00
loop_
_atom_site_label
_atom_site_fract_x
_atom_site_fract_y
_atom_site_fract_z
Sc1 0.0000 0.0000 0.0000
Al1 0.6667 0.3333 0.3014
Pb1 0.3333 0.6667 0.6468
```

Summary:
energy of formation from the pure elements = 14 meV/atom

(13)
Computed, not measured: a geometry-optimized Sc2AlPb structure at the PBE level of DFT.

Structure (CIF):
```
data_Sc2AlPb
_chemical_formula_sum 'Sc6 Al3 Pb3'
_space_group_name_H-M_alt 'R -3 m'
_space_group_IT_number 166
_space_group_name_Hall '-R 3 2"'
_cell_length_a 3.4123
_cell_length_b 3.4123
_cell_length_c 27.6493
_cell_angle_alpha 90.00
_cell_angle_beta 90.00
_cell_angle_gamma 120.00
loop_
_atom_site_label
_atom_site_fract_x
_atom_site_fract_y
_atom_site_fract_z
Sc1 0.0000 0.0000 0.2434
Al1 0.0000 0.0000 0.5000
Pb1 0.0000 0.0000 0.0000
```

Summary:
energy of formation from the pure elements = -250 meV/atom